VASP calculation (PBE) on an optimized crystal structure of Sm4ScSe5.

a b c (Å): 4.1193 4.1193 14.8971
angles (deg): 97.95 97.95 90.00
Positions (direct):
Se 0.7028 0.7028 0.4056
Se 0.2972 0.2972 0.5944
Se 0.9066 0.9066 0.8132
Se 0.0934 0.0934 0.1868
Se 0.5000 0.5000 0.0000
Sm 0.6011 0.6011 0.2021
Sm 0.3989 0.3989 0.7979
Sm 0.1940 0.1940 0.3880
Sm 0.8060 0.8060 0.6120
Sc 0.0000 0.0000 0.0000

Results
- E_tot (eV per atom) = -6.010